Here is crystalline HfMgGeOs at its relaxed geometry from OQMD. Energies are from PBE.

POSCAR file:
```
HfMgGeOs
1.0
0.000 3.197 3.197
3.197 0.000 3.197
3.197 3.197 0.000
Hf Mg Ge Os
1 1 1 1
direct
0.000 0.000 0.000 Hf
0.750 0.750 0.750 Mg
0.500 0.500 0.500 Ge
0.250 0.250 0.250 Os
```

The space group is F-43m (216). Its polymorph energy (0 for the lowest one) is 0 meV/atom. The magnetic moment comes out at 0.00 μB/f.u. The value obtained for the density is 11.8 g/cm³.



Here is crystalline CsAgSnSeS2 at its relaxed geometry from OQMD. Energies are from PBE.

POSCAR file:
```
CsAgSnSeS2
1.0
1.973 -8.028 0.000
1.973 8.028 0.000
0.000 0.000 10.873
Cs Ag Sn Se S
2 2 2 2 4
direct
0.241 0.759 0.750 Cs
0.759 0.241 0.250 Cs
0.063 0.937 0.250 Ag
0.937 0.063 0.750 Ag
0.500 0.500 0.000 Sn
0.500 0.500 0.500 Sn
0.446 0.554 0.250 Se
0.554 0.446 0.750 Se
0.110 0.890 0.032 S
0.110 0.890 0.468 S
0.890 0.110 0.532 S
0.890 0.110 0.968 S
```

For the raw total energy, the calculation gives -3.72 eV per atom. The space group is Cmcm (63). The value obtained for the density is 4.8 g/cm³.



Here is crystalline TmTlIn at its relaxed geometry from OQMD. Energies are from PBE.

POSCAR file:
```
TmTlIn
1.0
2.307 -7.096 0.000
2.307 7.096 0.000
0.000 0.000 4.665
Tm Tl In
2 2 2
direct
0.156 0.844 0.000 Tm
0.844 0.156 0.000 Tm
0.000 0.000 0.500 Tl
0.500 0.500 0.000 Tl
0.321 0.679 0.500 In
0.679 0.321 0.500 In
```

The space group is Cmmm (65). Its polymorph energy (0 for the lowest one) is 0 meV/atom. The magnetic moment comes out at 0.00 μB/f.u. The value obtained for the density is 10.6 g/cm³.



Here is crystalline GaFeTe2 at its relaxed geometry from OQMD. Energies are from PBE.

POSCAR file:
```
GaFeTe2
1.0
0.000 3.573 3.573
3.573 0.000 3.573
3.573 3.573 0.000
Ga Fe Te
1 1 2
direct
0.000 0.000 0.000 Ga
0.250 0.250 0.250 Fe
0.500 0.500 0.500 Te
0.750 0.750 0.750 Te
```

For the raw total energy, the calculation gives -3.81 eV per atom. The space group is F-43m (216). The magnetic moment comes out at 2.93 μB/f.u. The value obtained for the density is 6.9 g/cm³.



Here is crystalline SmBiNO at its relaxed geometry from OQMD. Energies are from PBE.

POSCAR file:
```
SmBiNO
1.0
3.831 0.000 0.000
0.000 6.895 0.000
0.000 0.000 5.981
Sm Bi N O
2 2 2 2
direct
0.000 0.147 0.000 Sm
0.000 0.853 0.500 Sm
0.500 0.355 0.472 Bi
0.500 0.645 0.972 Bi
0.000 0.179 0.399 N
0.000 0.821 0.899 N
0.500 0.190 0.816 O
0.500 0.810 0.316 O
```

The space group is Pmc2_1 (26). Its polymorph energy (0 for the lowest one) is 153 meV/atom. The magnetic moment comes out at 0.00 μB/f.u. The value obtained for the density is 8.2 g/cm³.



Here is crystalline Lu3TaGa at its relaxed geometry from OQMD. Energies are from PBE.

POSCAR file:
```
Lu3TaGa
1.0
-3.310 5.015 4.203
3.310 -5.015 4.203
3.310 5.015 -4.203
Lu Ta Ga
6 2 2
direct
0.174 0.000 0.674 Lu
0.174 0.500 0.174 Lu
0.385 0.135 0.250 Lu
0.615 0.865 0.750 Lu
0.826 0.000 0.326 Lu
0.826 0.500 0.826 Lu
0.000 0.000 0.000 Ta
0.500 0.000 0.500 Ta
0.256 0.506 0.750 Ga
0.744 0.494 0.250 Ga
```

For the raw total energy, the calculation gives -5.08 eV per atom. The space group is Imma (74). The magnetic moment comes out at 0.01 μB/f.u. The value obtained for the density is 9.2 g/cm³.



Here is crystalline LaNi3BPt at its relaxed geometry from OQMD. Energies are from PBE.

POSCAR file:
```
LaNi3BPt
1.0
5.226 0.000 0.000
-2.613 4.526 0.000
0.000 0.000 7.185
La Ni B Pt
2 6 2 2
direct
0.000 0.000 0.000 La
0.000 0.000 0.500 La
0.000 0.500 0.193 Ni
0.000 0.500 0.807 Ni
0.500 0.000 0.193 Ni
0.500 0.000 0.807 Ni
0.500 0.500 0.193 Ni
0.500 0.500 0.807 Ni
0.333 0.667 0.000 B
0.667 0.333 0.000 B
0.333 0.667 0.500 Pt
0.667 0.333 0.500 Pt
```

For the raw total energy, the calculation gives -6.30 eV per atom. The space group is P6/mmm (191). The magnetic moment comes out at 0.02 μB/f.u. The value obtained for the density is 10.2 g/cm³.



Here is crystalline TbW2Au2 at its relaxed geometry from OQMD. Energies are from PBE.

POSCAR file:
```
TbW2Au2
1.0
0.000 7.796 2.282
5.647 0.000 2.282
5.647 7.796 0.000
Tb W Au
2 4 4
direct
0.000 0.000 0.000 Tb
0.250 0.250 0.250 Tb
0.096 0.713 0.341 W
0.400 0.909 0.537 W
0.713 0.096 0.850 W
0.909 0.400 0.154 W
0.439 0.485 0.343 Au
0.485 0.439 0.732 Au
0.518 0.907 0.765 Au
0.907 0.518 0.811 Au
```

Its energy relative to the elements is 38 kJ per mole of atoms. The space group is Fdd2 (43). The magnetic moment comes out at 0.01 μB/f.u. The value obtained for the density is 15.2 g/cm³.



Here is crystalline YHoTm2 at its relaxed geometry from OQMD. Energies are from PBE.

POSCAR file:
```
YHoTm2
1.0
5.569 0.000 0.000
0.000 3.589 6.219
0.000 -3.589 6.219
Y Ho Tm
2 2 4
direct
0.000 0.250 0.750 Y
0.000 0.750 0.250 Y
0.000 0.249 0.249 Ho
0.500 0.584 0.584 Ho
0.000 0.750 0.750 Tm
0.500 0.082 0.583 Tm
0.500 0.083 0.083 Tm
0.500 0.583 0.082 Tm
```

Its energy relative to the elements is 0 kJ per mole of atoms. The space group is Amm2 (38). The magnetic moment comes out at 0.03 μB/f.u. The value obtained for the density is 7.9 g/cm³.



Here is crystalline Pa at its relaxed geometry from OQMD. Energies are from PBE.

POSCAR file:
```
Pa
1.0
4.603 0.000 0.000
-2.301 3.986 0.000
0.000 0.000 5.357
Pa
4
direct
0.000 0.000 0.250 Pa
0.000 0.000 0.750 Pa
0.333 0.667 0.250 Pa
0.667 0.333 0.750 Pa
```

Its energy relative to the elements is 114 kJ per mole of atoms. The space group is P6_3/mmc (194). Its polymorph energy (0 for the lowest one) is 1179 meV/atom. The magnetic moment comes out at 0.00 μB/f.u. The value obtained for the density is 15.6 g/cm³.



Here is crystalline Nd2BN2Cl at its relaxed geometry from OQMD. Energies are from PBE.

POSCAR file:
```
Nd2BN2Cl
1.0
2.024 1.169 8.014
-2.024 1.169 8.014
0.000 -2.337 8.014
Nd B N Cl
2 1 2 1
direct
0.243 0.243 0.243 Nd
0.757 0.757 0.757 Nd
0.500 0.500 0.500 B
0.441 0.441 0.441 N
0.559 0.559 0.559 N
0.000 0.000 0.000 Cl
```

For the raw total energy, the calculation gives -7.02 eV per atom. The space group is R-3m (166). The magnetic moment comes out at 0.01 μB/f.u. The value obtained for the density is 5.3 g/cm³.